CsPb2Au2: optimized geometry, PBE.

Calculated volume in A^3/atom: 33.9
Energy in eV/atom: -3.189
Energy above the most stable polymorph in this dataset in eV per atom: 0.000

a = 13.2161 Å, b = 4.8291 Å, c = 5.5090 Å
α = 90.00°, β = 105.28°, γ = 90.00°
Space group C2/m (No. 12)
Unique sites:
Cs (0.0000, 0.0000, 0.0000) [2 per cell]
Pb (0.1640, 0.5000, 0.5829) [4 per cell]
Au (0.2469, 0.5000, 0.1440) [4 per cell]

***

NpTaPd: optimized geometry, PBE.

Calculated volume in A^3/atom: 21.4
Energy in eV/atom: -9.034
Energy above the most stable polymorph in this dataset in eV per atom: 0.215
Energy of formation from the pure elements in eV/atom: 0.899

a = 6.3576 Å, b = 6.3576 Å, c = 6.3576 Å
α = 90.00°, β = 90.00°, γ = 90.00°
Space group F-43m (No. 216)
Unique sites:
Np (0.0000, 0.0000, 0.0000) [4 per cell]
Ta (0.2500, 0.2500, 0.2500) [4 per cell]
Pd (0.2500, 0.2500, 0.7500) [4 per cell]

***

CsSm2AuSe4: optimized geometry, PBE.

Calculated volume in A^3/atom: 29.6
Energy in eV/atom: -4.880

a = 4.2803 Å, b = 14.8906 Å, c = 14.8827 Å
α = 90.00°, β = 90.00°, γ = 90.00°
Space group Cmcm (No. 63)
Unique sites:
Cs (0.0000, 0.1197, 0.2500) [4 per cell]
Sm (0.0000, 0.3699, 0.0675) [8 per cell]
Au (0.0000, 0.1587, 0.7500) [4 per cell]
Se (0.0000, 0.0000, 0.0000) [4 per cell]
Se (0.0000, 0.2575, 0.6015) [8 per cell]
Se (0.0000, 0.4417, 0.2500) [4 per cell]

***

Y4As2Pd: optimized geometry, PBE.

Calculated volume in A^3/atom: 30.2
Energy in eV/atom: -6.594

a = 4.7763 Å, b = 4.7763 Å, c = 10.7168 Å
α = 90.00°, β = 90.00°, γ = 120.00°
Space group P-3m1 (No. 164)
Unique sites:
Y (0.3333, 0.6667, 0.3666) [2 per cell]
Y (0.3333, 0.6667, 0.8958) [2 per cell]
As (0.3333, 0.6667, 0.6328) [2 per cell]
Pd (0.0000, 0.0000, 0.0000) [1 per cell]

***

The highest energy belongs to which entry?
CsPb2Au2